First-principles (PBE-GGA) data for an optimized crystal structure of AlFeCo2H, as listed in Alexandria.

Cell lengths 3.602, 3.602, 3.734 Å; angles 90.00, 90.00, 90.00 degrees
Last column: magnetic moment on the atom in μB.
Sites, in units of the cell vectors:
H 0.000 0.000 0.000  -0.01
Co 0.000 0.500 0.000  0.90
Co 0.500 0.000 0.000  0.90
Fe 0.500 0.500 0.500  2.48
Al 0.000 0.000 0.500  -0.05

**Fermi-level density of states**: 1.077 states/eV per atom
**Space-group type**: P4/mmm
**E above lowest polymorph**: 151 meV per atom